1.
{
  "formula": "Y2HgCl",
  "functional": "PBE",
  "state": "relaxed",
  "space_group": "Fm-3m (225)",
  "e_above_lowest_polymorph_ev_per_fu": 1.009,
  "lattice_angstrom": [[0.000, 3.691, 3.691], [3.691, 0.000, 3.691], [3.691, 3.691, 0.000]],
  "species": ["Y", "Y", "Hg", "Cl"],
  "fractional_positions": [[0.250, 0.250, 0.250], [0.750, 0.750, 0.750], [0.000, 0.000, 0.000], [0.500, 0.500, 0.500]]
}


2.
{
  "formula": "BaRhO2",
  "functional": "PBE",
  "state": "relaxed",
  "space_group": "R-3m (166)",
  "lattice_angstrom": [[1.696, 0.979, 6.614], [-1.696, 0.979, 6.614], [0.000, -1.958, 6.614]],
  "species": ["Ba", "Rh", "O", "O"],
  "fractional_positions": [[0.000, 0.000, 0.000], [0.500, 0.500, 0.500], [0.125, 0.125, 0.125], [0.875, 0.875, 0.875]]
}


no.,calculated volume (Å³ per cell),formation energy from raw total energies (eV/atom),energy (eV/atom)
1,100.6,-0.65,-4.420
2,65.9,-0.71,-5.508